Entry 1:
Material: CeSmAl6
Method: DFT, PBE-GGA
State: optimized geometry

a b c (Å): 4.6426 6.3955 6.3955
angles (deg): 119.95 90.00 90.00
With the nearest neighbours (Å) after each atom.
Fractional coordinates of all 8 atoms:
Sm (0.5000, 0.4164, 0.5836)  12 Al 3.13-3.21
Al (0.5000, 0.4615, 0.1060)  6 Al 2.77-2.82
Al (0.5000, 0.8940, 0.5385)  6 Al 2.77-2.82
Al (0.0000, 0.6066, 0.9628)  6 Al 2.76-2.82
Al (0.0000, 0.0372, 0.3934)  6 Al 2.76-2.82
Al (0.5000, 0.8945, 0.1055)  6 Al 2.77-2.82
Ce (0.0000, 0.0835, 0.9165)  12 Al 3.13-3.21
Al (0.0000, 0.6061, 0.3939)  6 Al 2.76-2.82

Properties
- Mass density: 4.57 g cm⁻³
- Space-group type: P-6m2 (187)
- DOS(E_F): 5.9 states/eV per cell
- Energy: -0.336 Ry/atom
- Magnetization: 0.05 μB per atom
- Crystal system: hexagonal



Entry 2:
Material: CeSm3Al8
Method: DFT, PBE-GGA
State: optimized geometry

a b c (Å): 5.6219 5.6219 9.2624
angles (deg): 90.00 90.00 120.00
With the nearest neighbours (Å) after each atom.
Fractional coordinates of all 12 atoms:
Al (0.5040, 0.0081, 0.7501)  6 Al 2.74-2.88
Sm (0.6667, 0.3333, 0.4341)  12 Al 3.29-3.33, 1 Sm 3.40, 3 Ce 3.48
Al (0.6756, 0.8378, 0.2497)  6 Al 2.74-2.89
Al (0.3333, 0.6667, 0.5000)  6 Al 2.85-2.86
Sm (0.0000, 0.0000, 0.9269)  12 Al 3.25-3.38, 1 Ce 3.31, 3 Sm 3.50
Al (0.9919, 0.4960, 0.7501)  6 Al 2.74-2.88
Ce (0.0000, 0.0000, 0.5693)  12 Al 3.27-3.36, 4 Sm 3.31-3.48
Al (0.1622, 0.8378, 0.2497)  6 Al 2.74-2.89
Sm (0.6667, 0.3333, 0.0671)  12 Al 3.28-3.34, 4 Sm 3.40-3.50
Al (0.1622, 0.3244, 0.2497)  6 Al 2.74-2.89
Al (0.5040, 0.4960, 0.7501)  6 Al 2.74-2.88
Al (0.3333, 0.6667, 0.0032)  6 Al 2.83-2.87

Properties
- Mass density: 5.29 g cm⁻³
- Energy relative to the lowest polymorph listed for this composition: 12 meV/atom
- Space-group type: P3m1 (156)
- DOS(E_F): 11.0 states/eV per cell
- Energy: -0.342 Ry/atom
- Magnetization: 0.05 μB per atom
- Crystal system: trigonal